# 1
The following is a DFT calculation (GGA-PBE) of crystalline AcThAgAu at its relaxed geometry.

* raw total energy: -75.93 eV per cell
* formation enthalpy at 0 K: -7.64 kcal/mol of atoms

Cell lengths 7.647, 7.647, 7.647 Å; angles 90.00, 90.00, 90.00 degrees
Space group F-43m (No. 216)
Inequivalent atoms, fractional coordinates:
1 Ac 0.000 0.000 0.000 (multiplicity 4)
2 Th 0.000 0.000 0.500 (multiplicity 4)
3 Ag 0.250 0.250 0.750 (multiplicity 4)
4 Au 0.250 0.250 0.250 (multiplicity 4)



# 2
The following is a DFT calculation (GGA-PBE) of crystalline Pu2HgOs at its relaxed geometry.

* raw total energy: -159.02 eV per cell
* formation enthalpy at 0 K: 2.54 kcal/mol of atoms
* polymorph energy (0 for the lowest one): 0.248 eV per atom

Cell lengths 7.102, 7.102, 7.102 Å; angles 90.00, 90.00, 90.00 degrees
Space group Fm-3m (No. 225)
Inequivalent atoms, fractional coordinates:
1 Pu 0.250 0.250 0.250 (multiplicity 8)
2 Hg 0.000 0.000 0.000 (multiplicity 4)
3 Os 0.000 0.000 0.500 (multiplicity 4)



# 3
The following is a DFT calculation (GGA-PBE) of crystalline ZrAlCo at its relaxed geometry.

* raw total energy: -19.40 eV per cell
* formation enthalpy at 0 K: -0.06 kcal/mol of atoms

Cell lengths 3.0328, 3.0328, 6.2642 Å; angles 90.00, 90.00, 120.00 degrees
Space group P3m1 (No. 156)
Inequivalent atoms, fractional coordinates:
1 Zr 0.0000 0.0000 0.0000 (multiplicity 1)
2 Al 0.6667 0.3333 0.3940 (multiplicity 1)
3 Co 0.3333 0.6667 0.6750 (multiplicity 1)



# 4
The following is a DFT calculation (GGA-PBE) of crystalline Te3C at its relaxed geometry.

* E_form (uncorrected): 1869 meV/atom
* raw total energy: -22.34 eV per cell
* polymorph energy (0 for the lowest one): 1.064 eV per atom

Cell lengths 5.766, 5.766, 5.766 Å; angles 90.00, 90.00, 90.00 degrees
Space group Pm-3n (No. 223)
Inequivalent atoms, fractional coordinates:
1 Te 0.000 0.250 0.500 (multiplicity 6)
2 C 0.000 0.000 0.000 (multiplicity 2)